Below is a relaxed MgTa2Ir crystal, with properties calculated at the GGA-PBEsol level.

abc: 5.154 5.154 5.154
angles: 135.59 135.59 64.62
Positions (direct):
1 Mg 0.000 0.000 0.000
2 Ta 0.500 0.500 0.000
3 Ta 0.750 0.250 0.500
4 Ir 0.250 0.750 0.500

Values from the calculation:
Its energy of formation from the pure elements is 0.03 eV/atom. The symmetry is I-4m2, No. 119.